Entry from the Alexandria database: a relaxed structure of LiCoSi2 (PBE-GGA).

The value obtained for the total magnetization is 0.00 μB per formula unit. For the energy above the lowest structure with this stoichiometry, the calculation gives 3.0 meV/atom. As for the mass density: 4.5 g/cm³.

The structure belongs to space group Fm-3m (No. 225); the cell edges are 5.636, 5.636 and 5.636 Å and the angles 90.00°, 90.00° and 90.00°. Symmetry generates all atoms from Li at (0.000, 0.000, 0.000), Co at (0.000, 0.000, 0.500) and Si at (0.250, 0.250, 0.250).